Crystalline CeHg3 at its relaxed geometry. Source: Alexandria via LeMat-Bulk, functional GGA-PBE.

Computed properties:
The calculation puts the calculated volume at 25.65 A^3/atom. For the formation energy, the calculation gives -0.31 eV per atom.

a b c (Å): 6.8391 6.8391 5.0660
angles (deg): 90.00 90.00 120.00
Space group P6_3/mmc (No. 194)
Unique sites:
Ce 0.3333 0.6667 0.2500 [2 per cell]
Hg 0.1640 0.3280 0.7500 [6 per cell]